[1]
# BaLaIn2

A geometry-optimized BaLaIn2 structure (PBE, Alexandria).

The structure in POSCAR format:
```
BaLaIn2
1.0
-1.0393 -3.6469 -0.9335
4.8185 -0.8907 -1.8848
2.0861 -2.2293 6.3870
Ba In La
1 2 1
direct
0.5000 0.5000 0.7955
0.5000 0.5000 0.2895
0.0000 0.0000 0.9825
0.0000 0.0000 0.4324
```

Computed properties:
uncorrected energy	-13.0	eV for the cell shown
space group	Pmm2
ΔH_f (0 K)	-180	meV/atom
total moment	0.000	μB per atom
volume	36.287	Å³ per atom
D(E_F)	3.358	states/eV/cell



[2]
# BaLaIn3

A geometry-optimized BaLaIn3 structure (PBE, Alexandria).

The structure in POSCAR format:
```
BaLaIn3
1.0
-2.8255 5.2413 0.9070
-2.4402 -0.3646 -5.4946
-4.7265 -2.9450 2.2945
La In Ba
1 3 1
direct
0.0000 0.0000 0.0000
0.0000 0.0000 0.5000
0.5000 0.0000 0.0000
0.0000 0.5000 0.0000
0.5000 0.5000 0.5000
```

Computed properties:
uncorrected energy	-14.3	eV for the cell shown
space group	Pm-3m
ΔH_f (0 K)	145	meV/atom
total moment	0.000	μB per atom
volume	43.700	Å³ per atom
D(E_F)	7.312	states/eV/cell



[3]
# BaLaIn2

A geometry-optimized BaLaIn2 structure (PBE, Alexandria).

The structure in POSCAR format:
```
BaLaIn2
1.0
3.8457 0.0077 0.0000
-0.0045 3.8457 0.0000
0.0000 0.0000 9.6721
In La Ba
2 1 1
direct
0.5000 0.5000 0.2235
0.0000 0.0000 0.0494
0.0000 0.0000 0.4357
0.5000 0.5000 0.7914
```

Computed properties:
uncorrected energy	-13.0	eV for the cell shown
space group	P4mm
ΔH_f (0 K)	-178	meV/atom
total moment	0.000	μB per atom
volume	35.761	Å³ per atom
D(E_F)	4.597	states/eV/cell



[4]
# BaLa5In4

A geometry-optimized BaLa5In4 structure (PBE, Alexandria).

The structure in POSCAR format:
```
BaLa5In4
1.0
3.9305 0.0000 0.0000
0.0000 3.9305 0.0000
0.0000 0.0000 22.2512
La In Ba
5 4 1
direct
0.5000 0.5000 0.6794
0.5000 0.5000 0.5000
0.5000 0.5000 0.1432
0.5000 0.5000 0.3206
0.5000 0.5000 0.8568
0.0000 0.0000 0.7721
0.0000 0.0000 0.5899
0.0000 0.0000 0.2279
0.0000 0.0000 0.4101
0.0000 0.0000 0.0000
```

Computed properties:
uncorrected energy	-41.2	eV for the cell shown
space group	P4/mmm
ΔH_f (0 K)	-370	meV/atom
total moment	0.000	μB per atom
volume	34.376	Å³ per atom
D(E_F)	9.428	states/eV/cell



Question: Among the records above, which one has the lowest uncorrected energy?
Answer: BaLa5In4